Record 1
The following is a PBE calculation of an optimized crystal structure of LaTc4Sn2, from the Alexandria database.

Unit cell a=4.7957 b=4.7957 c=7.7107 alpha=71.88 beta=71.88 gamma=90.00
Last column: nearest neighbours and their distance in Å.
Atoms (fractional coordinates):
Sn (0.6253, 0.6253, 0.7493)  1 Tc 2.63
Sn (0.3747, 0.3747, 0.2507)  1 Tc 2.63
Tc (0.1850, 0.1850, 0.6300)  1 La 2.56, 1 Sn 2.63
Tc (0.0000, 0.5000, 0.0000)  2 La 2.40
Tc (0.5000, 0.0000, 0.0000)  2 La 2.40
Tc (0.8150, 0.8150, 0.3700)  1 La 2.56, 1 Sn 2.63
La (0.0000, 0.0000, 0.0000)  6 Tc 2.40-2.56

**Crystal system**: tetragonal
**Density of states at the Fermi level**: 7.72 states/eV per cell
**E_form**: 1.568 eV/atom
**Space group**: I4/mmm, No. 139
**VASP energy**: -6.203 eV per atom

***

Record 2
The following is a PBE calculation of an optimized crystal structure of La2Tc2Sn, from the Alexandria database.

Unit cell a=7.1809 b=7.1809 c=4.7390 alpha=90.00 beta=90.00 gamma=90.00
Last column: nearest neighbours and their distance in Å.
Atoms (fractional coordinates):
Sn (0.0000, 0.0000, 0.0000)  4 Tc 2.90
Sn (0.5000, 0.5000, 0.0000)  4 Tc 2.90
La (0.8181, 0.3181, 0.5000)  6 Tc 3.16-3.21
La (0.1819, 0.6819, 0.5000)  6 Tc 3.16-3.21
La (0.6819, 0.8181, 0.5000)  6 Tc 3.16-3.21
La (0.3181, 0.1819, 0.5000)  6 Tc 3.16-3.21
Tc (0.6122, 0.1122, 0.0000)  1 Tc 2.28
Tc (0.1122, 0.3878, 0.0000)  1 Tc 2.28
Tc (0.3878, 0.8878, 0.0000)  1 Tc 2.28
Tc (0.8878, 0.6122, 0.0000)  1 Tc 2.28

**Crystal system**: tetragonal
**Density of states at the Fermi level**: 6.20 states/eV per cell
**E_form**: -0.169 eV/atom
**Space group**: P4/mbm, No. 127
**VASP energy**: -7.087 eV per atom

***

Record 3
The following is a PBE calculation of an optimized crystal structure of La2TcSn, from the Alexandria database.

Unit cell a=8.4962 b=8.4962 c=6.7299 alpha=50.86 beta=50.86 gamma=90.00
Last column: nearest neighbours and their distance in Å.
Atoms (fractional coordinates):
La (0.5552, 0.1250, 0.2500)  2 Tc 2.73
La (0.1948, 0.6250, 0.2500)  2 Tc 2.73
La (0.3750, 0.4448, 0.7500)  2 Tc 2.73
La (0.8750, 0.8052, 0.7500)  2 Tc 2.73
Tc (0.5000, 0.5000, 0.0000)  4 La 2.73, 2 Sn 3.03
Tc (0.2500, 0.7500, 0.5000)  4 La 2.73, 2 Sn 3.03
Sn (0.0000, 0.0000, 0.0000)  2 Tc 3.03
Sn (0.7500, 0.2500, 0.5000)  2 Tc 3.03

**Crystal system**: tetragonal
**Density of states at the Fermi level**: 10.79 states/eV per cell
**E_form**: -0.037 eV/atom
**Space group**: I-42d, No. 122
**VASP energy**: -6.092 eV per atom

***

Record 4
The following is a PBE calculation of an optimized crystal structure of LaTc2Sn2, from the Alexandria database.

Unit cell a=4.3943 b=4.3943 c=6.7293 alpha=70.94 beta=70.94 gamma=90.00
Last column: nearest neighbours and their distance in Å.
Atoms (fractional coordinates):
La (0.0000, 0.0000, 0.0000)  8 Sn 3.43, 8 Tc 3.71
Tc (0.7500, 0.2500, 0.5000)  4 Sn 2.68
Tc (0.2500, 0.7500, 0.5000)  4 Sn 2.68
Sn (0.6211, 0.6211, 0.7577)  4 Tc 2.68, 1 Sn 2.89
Sn (0.3789, 0.3789, 0.2423)  4 Tc 2.68, 1 Sn 2.89

**Crystal system**: tetragonal
**Density of states at the Fermi level**: 4.29 states/eV per cell
**E_form**: -0.070 eV/atom
**Space group**: I4/mmm, No. 139
**VASP energy**: -6.803 eV per atom